The following is a PBE calculation of an optimized crystal structure of Al2CrCd, from Alexandria via LeMat-Bulk.

Output
* ΔH_f (0 K): 226 meV per atom
* total moment: 2.2 μB per cell

abc: 9.391 9.391 9.391
angles: 17.79 17.79 17.79
Atoms (fractional coordinates):
Al 0.000 0.000 0.000
Al 0.250 0.250 0.250
Cr 0.512 0.512 0.512
Cd 0.759 0.759 0.759